Computed, not measured: a geometry-optimized AgP2 structure at the PBEsol level of DFT.

Lattice parameters (Å, degrees): 3.127 3.127 5.939 105.26 105.26 90.00
Positions (direct):
P  0.784  0.784  0.567
P  0.216  0.216  0.433
Ag  0.000  0.000  0.000

The energy above the most stable polymorph in this dataset is 139 meV per atom. Its final energy is -4.8445 eV per atom. The crystal system is tetragonal.